No. 1
5
Lattice="4.5660 0.0000 0.0000 0.0000 4.6907 0.0000 0.0000 0.0000 4.5660" Properties=species:S:1:pos:R:3 comment="PBE NaNb2CoIr, optimized geometry" mass_density_g_cm3=7.8 energy_ev_per_atom=-6.63 total_magnetization_mub_per_cell=0.4 spacegroup="No. 123" pbc="T T T"
Na 2.2830 2.3453 2.2830
Nb 0.0000 0.0000 2.2830
Nb 2.2830 0.0000 0.0000
Ir 0.0000 2.3453 0.0000
Co 0.0000 0.0000 0.0000

---

No. 2
20
Lattice="8.4905 0.0000 0.0000 -2.8302 8.0049 0.0000 -2.8302 -4.0025 6.9325" Properties=species:S:1:pos:R:3 comment="PBE RbCe4Ni3S12, optimized geometry" mass_density_g_cm3=4.3 energy_ev_per_atom=-5.65 total_magnetization_mub_per_cell=1.3 spacegroup="No. 204" pbc="T T T"
Rb 0.0000 0.0000 0.0000
Ce 4.2453 0.0000 0.0000
Ce 1.4151 2.0012 3.4662
Ce -1.4151 4.0025 0.0000
Ce -1.4151 -2.0012 3.4662
Ni -2.8302 2.0012 3.4662
Ni 2.8302 4.0025 0.0000
Ni 2.8302 -2.0012 3.4662
S -0.0687 6.0523 1.2412
S 2.8989 -2.0498 5.6912
S 1.8167 4.7191 3.5504
S 4.6469 4.7177 1.0704
S 5.7291 0.0986 2.3116
S -1.0135 2.5706 2.3116
S 2.7614 2.0513 1.0704
S -2.8989 3.9038 4.6208
S 1.0135 -0.7166 3.3820
S -1.8167 -0.7152 5.8621
S 3.8436 1.4318 4.6208
S 0.0687 1.9512 5.8621

---

No. 3
4
Lattice="-0.8839 0.8894 5.1625 -1.0387 -4.0670 3.2564 3.5992 -1.5000 3.6082" Properties=species:S:1:pos:R:3 comment="PBE CeSmPtPb, optimized geometry" mass_density_g_cm3=10.8 energy_ev_per_atom=-5.70 total_magnetization_mub_per_cell=1.1 spacegroup="No. 216" pbc="T T T"
Pb 0.4192 -1.1694 3.0068
Ce 0.0000 0.0000 0.0000
Sm 0.8383 -2.3388 6.0135
Pt 1.2575 -3.5082 9.0203

---

No. 4
4
Lattice="-2.6959 1.3427 0.4997 0.4974 -2.5532 1.5982 4.3246 5.7593 7.8551" Properties=species:S:1:pos:R:3 comment="PBE CdAs, optimized geometry" mass_density_g_cm3=6.9 energy_ev_per_atom=-2.54 total_magnetization_mub_per_cell=0.0 spacegroup="No. 67" e_above_lowest_polymorph_mev_per_atom=328.3 pbc="T T T"
As 4.1956 5.5876 7.6209
As 2.2731 3.8860 7.1745
Cd 2.2118 2.9456 4.0174
Cd -0.0676 0.7687 2.9228

---

No. 5
11
Lattice="6.1534 0.0000 0.0000 -3.0767 5.5598 -0.2888 0.0000 -3.5343 6.4508" Properties=species:S:1:pos:R:3 comment="PBE Rb2TlP2O6, optimized geometry" mass_density_g_cm3=4.1 energy_ev_per_atom=-5.96 total_magnetization_mub_per_cell=0.8 spacegroup="No. 12" pbc="T T T"
Rb 3.0767 1.6500 1.1274
Rb 0.0000 0.3755 5.0345
Tl 3.0767 -1.7671 3.2254
P 3.0767 2.3279 4.9935
P 0.0000 -0.3024 1.1684
O 3.0767 0.9969 4.2540
O -1.7789 4.4449 0.9450
O 1.2979 -2.4194 5.2169
O 4.8556 -2.4194 5.2169
O 1.7789 4.4449 0.9450
O 0.0000 1.0286 1.9079

---

No. 6
16
Lattice="-2.8234 -7.6312 -2.3238 6.9074 -3.9172 4.4716 -5.0341 5.2297 4.3497" Properties=species:S:1:pos:R:3 comment="PBE Th8Te4Os3Au, optimized geometry" mass_density_g_cm3=10.9 energy_ev_per_atom=-7.66 total_magnetization_mub_per_cell=0.0 spacegroup="No. 166" pbc="T T T"
Th -0.6640 0.4207 6.7614
Th 1.7332 -2.0694 4.6901
Th -1.3705 -0.4149 3.0278
Th -2.0084 -3.2129 5.6549
Th 1.0583 -3.1059 0.8426
Th 0.4205 -5.9038 3.4698
Th -2.6833 -4.2493 1.8075
Th -0.2860 -6.7395 -0.2638
Te -1.4117 -3.8156 -1.1619
Te -3.9287 -1.2008 1.0130
Te 0.0000 0.0000 0.0000
Te -2.5170 2.6148 2.1748
Os 2.0420 -5.7742 1.0739
Os -0.4750 -3.1594 3.2488
Os 0.9367 0.6562 4.4107
Au 3.4537 -1.9586 2.2358